(1)
A plane-wave DFT calculation with PBE was carried out for crystalline AcPmDyHo3 at its relaxed geometry.

Values from the calculation:
As for the space group: C2/m (12). The calculation puts the total magnetic moment at 0.0 μB per cell. The value obtained for the volume is 34.95 A^3/atom. The formation energy is 0.23 eV/atom.

Geometry as extended XYZ:
```
12
Lattice="5.666 0.000 0.000 -2.833 9.565 1.489 0.000 -1.369 7.526" Properties=species:S:1:pos:R:3 pbc="T T T"
Ac 0.000 5.547 8.407
Ac 2.833 2.648 0.608
Pm 0.000 0.532 2.321
Pm 2.833 7.663 6.694
Dy 2.833 2.326 3.841
Dy 0.000 5.869 5.173
Ho 2.833 6.010 3.159
Ho 2.833 4.324 6.492
Ho 0.000 8.679 3.661
Ho 0.000 3.871 2.522
Ho 2.833 -0.484 5.354
Ho 0.000 2.186 5.856
```


(2)
A plane-wave DFT calculation with PBE was carried out for crystalline SmDyMgCd at its relaxed geometry.

Values from the calculation:
As for the space group: F-43m (216). The calculation puts the total magnetic moment at 0.0 μB per cell. The value obtained for the volume is 27.32 A^3/atom. The formation energy is -0.20 eV/atom.

Geometry as extended XYZ:
```
4
Lattice="-5.265 -1.014 0.219 -2.477 -2.248 -4.197 -1.747 -5.065 0.312" Properties=species:S:1:pos:R:3 pbc="T T T"
Mg -2.372 -2.082 -0.916
Cd -7.116 -6.245 -2.749
Sm 0.000 0.000 0.000
Dy -4.744 -4.163 -1.833
```


(3)
A plane-wave DFT calculation with PBE was carried out for crystalline YZrAu2 at its relaxed geometry.

Values from the calculation:
As for the space group: Fm-3m (225). Its energy above the most stable polymorph in this dataset is 0.050 eV/atom. The calculation puts the total magnetic moment at 0.0 μB per cell. The value obtained for the volume is 21.81 A^3/atom. The formation energy is -0.60 eV/atom.

Geometry as extended XYZ:
```
4
Lattice="0.000 3.520 3.520 3.520 0.000 3.520 3.520 3.520 0.000" Properties=species:S:1:pos:R:3 pbc="T T T"
Y 0.000 0.000 0.000
Au 1.760 1.760 1.760
Au 5.281 5.281 5.281
Zr 3.520 3.520 3.520
```